VASP calculation (PBE+U) on crystalline AcPaMo2O8 at its relaxed geometry.

Structure (CIF):
```
data_AcPaMo2O8
_cell_length_a 5.395
_cell_length_b 5.395
_cell_length_c 11.233
_cell_angle_alpha 90.00
_cell_angle_beta 90.00
_cell_angle_gamma 90.00
_space_group_name_H-M_alt 'I -4'
_space_group_IT_number 82
loop_
_space_group_symop_operation_xyz
'x,y,z'
'y,-x,-z'
'-x,-y,z'
'-y,x,-z'
'x+1/2,y+1/2,z+1/2'
'y+1/2,-x+1/2,-z+1/2'
'-x+1/2,-y+1/2,z+1/2'
'-y+1/2,x+1/2,-z+1/2'
loop_
_atom_site_label
_atom_site_type_symbol
_atom_site_fract_x
_atom_site_fract_y
_atom_site_fract_z
_atom_site_occupancy
Ac1 Ac 0.000 0.000 0.000 1
Pa1 Pa 0.000 0.500 0.750 1
Mo1 Mo 0.000 0.000 0.500 1
Mo2 Mo 0.000 0.500 0.250 1
O1 O 0.176 0.250 0.603 1
O2 O 0.211 0.741 0.160 1
```

Properties
- Calculated volume: 327 Å³ per cell
- Energy: -8.158 eV per atom